(1)
Sc2BeI2 after structural relaxation. Source: Alexandria via LeMat-Bulk, functional PBE-GGA.

Geometry as CIF:
```
data_Sc2BeI2
_space_group_name_H-M_alt 'P 1'
_space_group_IT_number 1
_cell_length_a 7.3295
_cell_length_b 7.3295
_cell_length_c 4.8073
_cell_angle_alpha 90.00
_cell_angle_beta 90.00
_cell_angle_gamma 90.00
loop_
_space_group_symop_operation_xyz
'x,y,z'
loop_
_atom_site_label
_atom_site_type_symbol
_atom_site_fract_x
_atom_site_fract_y
_atom_site_fract_z
Sc1 Sc 0.1704 0.3296 0.0000
Sc2 Sc 0.3296 0.8296 0.0000
Sc3 Sc 0.8296 0.6704 0.0000
Sc4 Sc 0.6704 0.1704 0.0000
I1 I 0.1696 0.6696 0.5000
I2 I 0.6696 0.8304 0.5000
I3 I 0.8304 0.3304 0.5000
I4 I 0.3304 0.1696 0.5000
Be1 Be 0.0000 0.0000 0.0000
Be2 Be 0.5000 0.5000 0.0000
```

Summary:
polymorph energy (0 for the lowest one) = 0.000 eV per atom
space-group type = P4/mbm, No. 127
spin magnetization = 0.1841 μB per atom
energy relative to the elements, uncorrected = -0.0027 eV per atom

(2)
Sc2BeI2 after structural relaxation. Source: Alexandria via LeMat-Bulk, functional PBE-GGA.

Geometry as CIF:
```
data_Sc2BeI2
_space_group_name_H-M_alt 'P 1'
_space_group_IT_number 1
_cell_length_a 4.9242
_cell_length_b 4.9242
_cell_length_c 7.2288
_cell_angle_alpha 70.09
_cell_angle_beta 70.09
_cell_angle_gamma 90.00
loop_
_space_group_symop_operation_xyz
'x,y,z'
loop_
_atom_site_label
_atom_site_type_symbol
_atom_site_fract_x
_atom_site_fract_y
_atom_site_fract_z
Be1 Be 0.0000 0.0000 0.0000
I1 I 0.2500 0.7500 0.5000
I2 I 0.7500 0.2500 0.5000
Sc1 Sc 0.3864 0.3864 0.2271
Sc2 Sc 0.6136 0.6136 0.7729
```

Summary:
polymorph energy (0 for the lowest one) = 0.342 eV per atom
space-group type = I4/mmm, No. 139
spin magnetization = 0.2632 μB per atom
energy relative to the elements, uncorrected = 0.3388 eV per atom

(3)
Sc3BeI after structural relaxation. Source: Alexandria via LeMat-Bulk, functional PBE-GGA.

Geometry as CIF:
```
data_Sc3BeI
_space_group_name_H-M_alt 'P 1'
_space_group_IT_number 1
_cell_length_a 4.8887
_cell_length_b 4.8887
_cell_length_c 4.8887
_cell_angle_alpha 90.00
_cell_angle_beta 90.00
_cell_angle_gamma 90.00
loop_
_space_group_symop_operation_xyz
'x,y,z'
loop_
_atom_site_label
_atom_site_type_symbol
_atom_site_fract_x
_atom_site_fract_y
_atom_site_fract_z
Sc1 Sc 0.0000 0.0000 0.5000
Sc2 Sc 0.5000 0.0000 0.0000
Sc3 Sc 0.0000 0.5000 0.0000
Be1 Be 0.0000 0.0000 0.0000
I1 I 0.5000 0.5000 0.5000
```

Summary:
polymorph energy (0 for the lowest one) = 0.000 eV per atom
space-group type = Pm-3m, No. 221
spin magnetization = 0.0000 μB per atom
energy relative to the elements, uncorrected = 0.0609 eV per atom

(4)
Sc2BeI after structural relaxation. Source: Alexandria via LeMat-Bulk, functional PBE-GGA.

Geometry as CIF:
```
data_Sc2BeI
_space_group_name_H-M_alt 'P 1'
_space_group_IT_number 1
_cell_length_a 10.1744
_cell_length_b 10.1744
_cell_length_c 10.1744
_cell_angle_alpha 19.67
_cell_angle_beta 19.67
_cell_angle_gamma 19.67
loop_
_space_group_symop_operation_xyz
'x,y,z'
loop_
_atom_site_label
_atom_site_type_symbol
_atom_site_fract_x
_atom_site_fract_y
_atom_site_fract_z
Sc1 Sc 0.0890 0.0890 0.0890
Sc2 Sc 0.9110 0.9110 0.9110
Be1 Be 0.0000 0.0000 0.0000
I1 I 0.5000 0.5000 0.5000
```

Summary:
polymorph energy (0 for the lowest one) = 0.648 eV per atom
space-group type = R-3m, No. 166
spin magnetization = 0.3603 μB per atom
energy relative to the elements, uncorrected = 0.5992 eV per atom

(5)
Sc2BeI after structural relaxation. Source: Alexandria via LeMat-Bulk, functional PBE-GGA.

Geometry as CIF:
```
data_Sc2BeI
_space_group_name_H-M_alt 'P 1'
_space_group_IT_number 1
_cell_length_a 4.9095
_cell_length_b 4.9095
_cell_length_c 4.9095
_cell_angle_alpha 60.00
_cell_angle_beta 60.00
_cell_angle_gamma 60.00
loop_
_space_group_symop_operation_xyz
'x,y,z'
loop_
_atom_site_label
_atom_site_type_symbol
_atom_site_fract_x
_atom_site_fract_y
_atom_site_fract_z
I1 I 0.5000 0.5000 0.5000
Sc1 Sc 0.7500 0.7500 0.7500
Sc2 Sc 0.2500 0.2500 0.2500
Be1 Be 0.0000 0.0000 0.0000
```

Summary:
polymorph energy (0 for the lowest one) = 0.203 eV per atom
space-group type = Fm-3m, No. 225
spin magnetization = 0.0000 μB per atom
energy relative to the elements, uncorrected = 0.1543 eV per atom

(6)
ScBeI after structural relaxation. Source: Alexandria via LeMat-Bulk, functional PBE-GGA.

Geometry as CIF:
```
data_ScBeI
_space_group_name_H-M_alt 'P 1'
_space_group_IT_number 1
_cell_length_a 3.8481
_cell_length_b 3.8453
_cell_length_c 12.8302
_cell_angle_alpha 63.59
_cell_angle_beta 81.38
_cell_angle_gamma 59.98
loop_
_space_group_symop_operation_xyz
'x,y,z'
loop_
_atom_site_label
_atom_site_type_symbol
_atom_site_fract_x
_atom_site_fract_y
_atom_site_fract_z
Sc1 Sc 0.9532 0.7395 0.3542
Sc2 Sc 0.0468 0.2605 0.6458
Be1 Be 0.3340 0.8293 0.5028
Be2 Be 0.6660 0.1707 0.4972
I1 I 0.7696 0.6415 0.8194
I2 I 0.2304 0.3585 0.1806
```

Summary:
space-group type = C2/m, No. 12
spin magnetization = 0.0001 μB per atom
energy relative to the elements, uncorrected = -0.5880 eV per atom

(7)
Sc2BeI after structural relaxation. Source: Alexandria via LeMat-Bulk, functional PBE-GGA.

Geometry as CIF:
```
data_Sc2BeI
_space_group_name_H-M_alt 'P 1'
_space_group_IT_number 1
_cell_length_a 6.2794
_cell_length_b 6.2794
_cell_length_c 7.4185
_cell_angle_alpha 64.96
_cell_angle_beta 64.96
_cell_angle_gamma 90.00
loop_
_space_group_symop_operation_xyz
'x,y,z'
loop_
_atom_site_label
_atom_site_type_symbol
_atom_site_fract_x
_atom_site_fract_y
_atom_site_fract_z
Sc1 Sc 0.3750 0.4520 0.7500
Sc2 Sc 0.2020 0.6250 0.2500
Sc3 Sc 0.8750 0.7980 0.7500
Sc4 Sc 0.5480 0.1250 0.2500
I1 I 0.7500 0.2500 0.5000
I2 I 0.0000 0.0000 0.0000
Be1 Be 0.2500 0.7500 0.5000
Be2 Be 0.5000 0.5000 0.0000
```

Summary:
polymorph energy (0 for the lowest one) = 0.380 eV per atom
space-group type = I-42d, No. 122
spin magnetization = 0.0000 μB per atom
energy relative to the elements, uncorrected = 0.3316 eV per atom

(8)
Sc2BeI after structural relaxation. Source: Alexandria via LeMat-Bulk, functional PBE-GGA.

Geometry as CIF:
```
data_Sc2BeI
_space_group_name_H-M_alt 'P 1'
_space_group_IT_number 1
_cell_length_a 8.4718
_cell_length_b 8.4718
_cell_length_c 8.4718
_cell_angle_alpha 27.15
_cell_angle_beta 27.15
_cell_angle_gamma 27.15
loop_
_space_group_symop_operation_xyz
'x,y,z'
loop_
_atom_site_label
_atom_site_type_symbol
_atom_site_fract_x
_atom_site_fract_y
_atom_site_fract_z
Be1 Be 0.5000 0.5000 0.5000
I1 I 0.0000 0.0000 0.0000
Sc1 Sc 0.8838 0.8838 0.8838
Sc2 Sc 0.1162 0.1162 0.1162
```

Summary:
polymorph energy (0 for the lowest one) = 0.000 eV per atom
space-group type = R-3m, No. 166
spin magnetization = 0.0035 μB per atom
energy relative to the elements, uncorrected = -0.0486 eV per atom

(9)
Sc3BeI3 after structural relaxation. Source: Alexandria via LeMat-Bulk, functional PBE-GGA.

Geometry as CIF:
```
data_Sc3BeI3
_space_group_name_H-M_alt 'P 1'
_space_group_IT_number 1
_cell_length_a 9.9582
_cell_length_b 9.9582
_cell_length_c 9.9582
_cell_angle_alpha 109.47
_cell_angle_beta 109.47
_cell_angle_gamma 109.47
loop_
_space_group_symop_operation_xyz
'x,y,z'
loop_
_atom_site_label
_atom_site_type_symbol
_atom_site_fract_x
_atom_site_fract_y
_atom_site_fract_z
Sc1 Sc 0.7763 0.0263 0.0526
Sc2 Sc 0.5526 0.2763 0.0263
Sc3 Sc 0.7237 0.2763 0.7500
Sc4 Sc 0.9737 0.2237 0.4474
Sc5 Sc 0.7237 0.4474 0.4737
Sc6 Sc 0.7763 0.7500 0.2237
Sc7 Sc 0.2500 0.2237 0.2763
Sc8 Sc 0.5263 0.4737 0.7500
Sc9 Sc 0.9474 0.4737 0.2237
Sc10 Sc 0.2500 0.0263 0.4737
Sc11 Sc 0.9737 0.7500 0.0263
Sc12 Sc 0.5263 0.0526 0.2763
I1 I 0.4958 0.9915 0.7458
I2 I 0.2458 0.9958 0.9915
I3 I 0.0042 0.7542 0.5085
I4 I 0.4915 0.7458 0.9958
I5 I 0.4958 0.5042 0.2500
I6 I 0.0042 0.2500 0.9958
I7 I 0.0085 0.5042 0.7542
I8 I 0.2542 0.7458 0.2500
I9 I 0.7500 0.9958 0.5042
I10 I 0.2542 0.5085 0.5042
I11 I 0.7500 0.7542 0.7458
I12 I 0.2458 0.2500 0.7542
Be1 Be 0.0000 0.0000 0.2500
Be2 Be 0.7500 0.2500 0.2500
Be3 Be 0.7500 0.5000 0.0000
Be4 Be 0.5000 0.2500 0.5000
```

Summary:
space-group type = I4_132, No. 214
spin magnetization = 0.0000 μB per atom
energy relative to the elements, uncorrected = -0.6617 eV per atom

(10)
SrScBe2I after structural relaxation. Source: Alexandria via LeMat-Bulk, functional PBE-GGA.

Geometry as CIF:
```
data_SrScBe2I
_space_group_name_H-M_alt 'P 1'
_space_group_IT_number 1
_cell_length_a 5.0901
_cell_length_b 5.2961
_cell_length_c 5.0901
_cell_angle_alpha 90.00
_cell_angle_beta 90.00
_cell_angle_gamma 90.00
loop_
_space_group_symop_operation_xyz
'x,y,z'
loop_
_atom_site_label
_atom_site_type_symbol
_atom_site_fract_x
_atom_site_fract_y
_atom_site_fract_z
I1 I 0.0000 0.0000 0.0000
Sc1 Sc 0.0000 0.5000 0.0000
Be1 Be 0.0000 0.0000 0.5000
Be2 Be 0.5000 0.0000 0.0000
Sr1 Sr 0.5000 0.5000 0.5000
```

Summary:
space-group type = P4/mmm, No. 123
spin magnetization = 0.0000 μB per atom
energy relative to the elements, uncorrected = 0.9654 eV per atom

no.,DOS(E_F) (states/eV/f.u.)
1,5.12
2,4.74
3,4.88
4,5.86
5,5.21
6,1.85
7,5.00
8,5.14
9,4.55
10,3.83